# Mg2TaSi (PBE, relaxed)
# Formation energy from raw total energies = 0.95 eV per formula unit
# Fermi-level density of states = 0.530 states/eV per atom
# Calculated volume = 72 Å³ per cell
data_Mg2TaSi
_cell_length_a 3.0842
_cell_length_b 4.2690
_cell_length_c 5.4773
_cell_angle_alpha 90.00
_cell_angle_beta 90.00
_cell_angle_gamma 90.00
_symmetry_space_group_name_H-M 'P 1'
_symmetry_Int_Tables_number 1
_symmetry_space_group_name_Hall 'P 1'
loop_
_atom_site_label
_atom_site_type_symbol
_atom_site_fract_x
_atom_site_fract_y
_atom_site_fract_z
Mg1 Mg 0.0000 0.0000 0.9971
Mg2 Mg 0.0000 0.0000 0.5029
Si1 Si 0.5000 0.5000 0.2500
Ta1 Ta 0.5000 0.5000 0.7500